# 1
First-principles (PBE) data for an optimized crystal structure of AcLaRhSe, as listed in the Alexandria database.

Values from the calculation:
formation energy (no corrections): -1.23 eV per atom
magnetic moment: 0.00 μB/cell

a = 4.2327 Å, b = 4.2327 Å, c = 23.0069 Å
α = 90.00°, β = 90.00°, γ = 120.00°
Last column: nearest neighbours and their distance in Å.
Space group R3m (No. 160, hexagonal axes)
Symmetry-distinct sites (fractional):
1 Ac 0.0000 0.0000 0.0000  3 Rh 3.01, 3 Se 3.29
2 La 0.0000 0.0000 0.8142  3 Rh 2.94, 3 Se 3.20
3 Rh 0.0000 0.0000 0.4099  3 La 2.94, 3 Ac 3.01
4 Se 0.0000 0.0000 0.5706  3 La 3.20, 3 Ac 3.29

=====

# 2
First-principles (PBE) data for an optimized crystal structure of AcLaSnRh, as listed in the Alexandria database.

Values from the calculation:
energy of formation: -503.6 meV per atom
magnetic moment: 0.00 μB/cell

a = 7.7239 Å, b = 7.7239 Å, c = 7.7239 Å
α = 90.00°, β = 90.00°, γ = 90.00°
Last column: nearest neighbours and their distance in Å.
Space group F-43m (No. 216)
Symmetry-distinct sites (fractional):
1 Ac 0.0000 0.0000 0.0000  4 Sn 3.34, 4 Rh 3.34
2 La 0.0000 0.0000 0.5000  4 Rh 3.34, 4 Sn 3.34
3 Sn 0.2500 0.2500 0.7500  4 Ac 3.34, 4 La 3.34
4 Rh 0.2500 0.2500 0.2500  4 Ac 3.34, 4 La 3.34

=====

| no. | mass density (g/cm3) | D(E_F) (states/eV per atom) |
| --- | --- | --- |
| 1 | 7.6 | 0.699 |
| 2 | 8.5 | 0.910 |